Density functional theory data (GGA-PBE) for crystalline Ac8CuPb2 at its relaxed geometry.

Cell and atoms, written as POSCAR:
```
Ac8CuPb2
1.0
-1.079 -5.256 -1.255
-0.121 -1.742 7.400
-9.406 5.152 -1.392
Ac Pb Cu
8 2 1
direct
0.352 0.002 0.704 Ac
0.410 0.528 0.819 Ac
0.985 0.221 0.971 Ac
0.212 0.328 0.424 Ac
0.788 0.672 0.576 Ac
0.015 0.779 0.029 Ac
0.590 0.472 0.181 Ac
0.648 0.998 0.296 Ac
0.184 0.765 0.367 Pb
0.816 0.235 0.633 Pb
0.500 0.000 0.000 Cu
```

Properties
spin magnetization	0.000	μB per atom
calculated formation energy	-173	meV/atom